No. 1
Below is a relaxed Tl2AsOsC crystal, with properties calculated at the GGA-PBE level.

Structure (CIF):
```
data_Tl2AsOsC
_cell_length_a 5.155
_cell_length_b 5.155
_cell_length_c 3.909
_cell_angle_alpha 90.00
_cell_angle_beta 90.00
_cell_angle_gamma 90.00
_symmetry_space_group_name_H-M 'P 4/m m m'
_symmetry_Int_Tables_number 123
_symmetry_space_group_name_Hall '-P 4 2'
loop_
_atom_site_label
_atom_site_type_symbol
_atom_site_fract_x
_atom_site_fract_y
_atom_site_fract_z
_atom_site_occupancy
Tl1 Tl 0.000 0.500 0.000 1
As1 As 0.000 0.000 0.500 1
Os1 Os 0.500 0.500 0.500 1
C1 C 0.500 0.500 0.000 1
```

Results
mass density = 10.96 g cm⁻³
relative energy among the computed polymorphs = 0.0 meV per atom
ΔE_f = 1.0908 eV/atom
DFT total energy = -4.88 eV per atom


No. 2
Below is a relaxed As2P2C crystal, with properties calculated at the GGA-PBE level.

Structure (CIF):
```
data_As2P2C
_cell_length_a 5.321
_cell_length_b 5.321
_cell_length_c 6.135
_cell_angle_alpha 90.00
_cell_angle_beta 90.00
_cell_angle_gamma 90.00
_symmetry_space_group_name_H-M 'I 4/m m m'
_symmetry_Int_Tables_number 139
_symmetry_space_group_name_Hall '-I 4 2'
loop_
_atom_site_label
_atom_site_type_symbol
_atom_site_fract_x
_atom_site_fract_y
_atom_site_fract_z
_atom_site_occupancy
As1 As 0.000 0.500 0.250 1
P1 P 0.000 0.000 0.226 1
C1 C 0.000 0.000 0.500 1
```

Results
mass density = 4.28 g cm⁻³
relative energy among the computed polymorphs = 0.0 meV per atom
ΔE_f = 0.7617 eV/atom
DFT total energy = -5.11 eV per atom


No. 3
Below is a relaxed As3PC crystal, with properties calculated at the GGA-PBE level.

Structure (CIF):
```
data_As3PC
_cell_length_a 4.353
_cell_length_b 4.353
_cell_length_c 4.353
_cell_angle_alpha 90.00
_cell_angle_beta 90.00
_cell_angle_gamma 90.00
_symmetry_space_group_name_H-M 'P m -3 m'
_symmetry_Int_Tables_number 221
_symmetry_space_group_name_Hall '-P 4 2 3'
loop_
_atom_site_label
_atom_site_type_symbol
_atom_site_fract_x
_atom_site_fract_y
_atom_site_fract_z
_atom_site_occupancy
As1 As 0.000 0.000 0.500 1
P1 P 0.500 0.500 0.500 1
C1 C 0.000 0.000 0.000 1
```

Results
mass density = 5.39 g cm⁻³
relative energy among the computed polymorphs = 0.0 meV per atom
ΔE_f = 1.2110 eV/atom
DFT total energy = -4.51 eV per atom


No. 4
Below is a relaxed As2P2C crystal, with properties calculated at the GGA-PBE level.

Structure (CIF):
```
data_As2P2C
_cell_length_a 3.157
_cell_length_b 3.157
_cell_length_c 17.140
_cell_angle_alpha 90.00
_cell_angle_beta 90.00
_cell_angle_gamma 90.00
_symmetry_space_group_name_H-M 'I 4/m m m'
_symmetry_Int_Tables_number 139
_symmetry_space_group_name_Hall '-I 4 2'
loop_
_atom_site_label
_atom_site_type_symbol
_atom_site_fract_x
_atom_site_fract_y
_atom_site_fract_z
_atom_site_occupancy
As1 As 0.000 0.000 0.070 1
P1 P 0.000 0.500 0.250 1
C1 C 0.000 0.000 0.500 1
```

Results
mass density = 4.35 g cm⁻³
relative energy among the computed polymorphs = 394.5 meV per atom
ΔE_f = 1.1562 eV/atom
DFT total energy = -4.71 eV per atom


No. 5
Below is a relaxed AsP3C crystal, with properties calculated at the GGA-PBE level.

Structure (CIF):
```
data_AsP3C
_cell_length_a 4.109
_cell_length_b 4.109
_cell_length_c 4.109
_cell_angle_alpha 90.00
_cell_angle_beta 90.00
_cell_angle_gamma 90.00
_symmetry_space_group_name_H-M 'P m -3 m'
_symmetry_Int_Tables_number 221
_symmetry_space_group_name_Hall '-P 4 2 3'
loop_
_atom_site_label
_atom_site_type_symbol
_atom_site_fract_x
_atom_site_fract_y
_atom_site_fract_z
_atom_site_occupancy
As1 As 0.000 0.000 0.000 1
P1 P 0.000 0.500 0.500 1
C1 C 0.500 0.500 0.500 1
```

Results
mass density = 4.30 g cm⁻³
relative energy among the computed polymorphs = 0.0 meV per atom
ΔE_f = 1.1522 eV/atom
DFT total energy = -4.87 eV per atom


No. 6
Below is a relaxed As2P2C crystal, with properties calculated at the GGA-PBE level.

Structure (CIF):
```
data_As2P2C
_cell_length_a 5.417
_cell_length_b 5.417
_cell_length_c 5.184
_cell_angle_alpha 90.00
_cell_angle_beta 90.00
_cell_angle_gamma 90.00
_symmetry_space_group_name_H-M 'P 4/m b m'
_symmetry_Int_Tables_number 127
_symmetry_space_group_name_Hall '-P 4 2ab'
loop_
_atom_site_label
_atom_site_type_symbol
_atom_site_fract_x
_atom_site_fract_y
_atom_site_fract_z
_atom_site_occupancy
As1 As 0.226 0.274 0.000 1
P1 P 0.188 0.312 0.500 1
C1 C 0.000 0.000 0.500 1
```

Results
mass density = 4.89 g cm⁻³
relative energy among the computed polymorphs = 149.0 meV per atom
ΔE_f = 0.9108 eV/atom
DFT total energy = -4.96 eV per atom


No. 7
Below is a relaxed AsP2C crystal, with properties calculated at the GGA-PBE level.

Structure (CIF):
```
data_AsP2C
_cell_length_a 6.004
_cell_length_b 6.004
_cell_length_c 6.004
_cell_angle_alpha 90.00
_cell_angle_beta 90.00
_cell_angle_gamma 90.00
_symmetry_space_group_name_H-M 'F m -3 m'
_symmetry_Int_Tables_number 225
_symmetry_space_group_name_Hall '-F 4 2 3'
loop_
_atom_site_label
_atom_site_type_symbol
_atom_site_fract_x
_atom_site_fract_y
_atom_site_fract_z
_atom_site_occupancy
As1 As 0.000 0.000 0.000 1
P1 P 0.250 0.250 0.250 1
C1 C 0.000 0.000 0.500 1
```

Results
mass density = 4.57 g cm⁻³
relative energy among the computed polymorphs = 1002.0 meV per atom
ΔE_f = 1.6901 eV/atom
DFT total energy = -4.48 eV per atom


No. 8
Below is a relaxed As2P2C crystal, with properties calculated at the GGA-PBE level.

Structure (CIF):
```
data_As2P2C
_cell_length_a 5.879
_cell_length_b 5.879
_cell_length_c 5.153
_cell_angle_alpha 90.00
_cell_angle_beta 90.00
_cell_angle_gamma 90.00
_symmetry_space_group_name_H-M 'P 4/m b m'
_symmetry_Int_Tables_number 127
_symmetry_space_group_name_Hall '-P 4 2ab'
loop_
_atom_site_label
_atom_site_type_symbol
_atom_site_fract_x
_atom_site_fract_y
_atom_site_fract_z
_atom_site_occupancy
As1 As 0.172 0.328 0.000 1
P1 P 0.124 0.376 0.500 1
C1 C 0.000 0.000 0.000 1
```

Results
mass density = 4.17 g cm⁻³
relative energy among the computed polymorphs = 349.8 meV per atom
ΔE_f = 1.1115 eV/atom
DFT total energy = -4.76 eV per atom